Entry 1:
Material: CuHgS6
Method: DFT, PBE
State: relaxed

Output
**Crystal system**: triclinic
**Formation energy from raw total energies**: 0.03 eV per atom
**Space group**: P-1
**Total energy**: -3.612 eV per atom
**Total magnetic moment**: 0.0 μB per formula unit
**Density**: 3.7 g/cm³
**Fermi-level density of states**: 1.6 states/eV per cell

Lattice parameters (Å, degrees): 3.780 6.920 8.034 84.10 80.03 86.66
Atoms (fractional coordinates):
Cu 0.000 0.000 0.000
Hg 0.000 0.500 0.000
S 0.260 0.217 0.358
S 0.300 0.498 0.251
S 0.417 0.035 0.171
S 0.583 0.965 0.829
S 0.700 0.502 0.749
S 0.740 0.783 0.642

***

Entry 2:
Material: CeNdHo2Se6
Method: DFT, PBE
State: relaxed

Output
**Crystal system**: trigonal
**Formation energy from raw total energies**: -1.82 eV per atom
**Space group**: R3
**Total energy**: -5.895 eV per atom
**Total magnetic moment**: 1.0 μB per formula unit
**Density**: 5.9 g/cm³
**Fermi-level density of states**: 4.9 states/eV per cell

Lattice parameters (Å, degrees): 7.769 7.769 7.769 56.44 56.44 56.44
Atoms (fractional coordinates):
Ce 0.000 0.000 0.000
Nd 0.500 0.500 0.500
Ho 0.201 0.201 0.201
Ho 0.700 0.700 0.700
Se 0.084 0.417 0.815
Se 0.317 0.917 0.582
Se 0.417 0.815 0.084
Se 0.582 0.317 0.917
Se 0.815 0.084 0.417
Se 0.917 0.582 0.317